Entry from Alexandria: a relaxed YCd3Rh crystal (PBEsol).

Calculated values
Density of states at the Fermi level ... 1.029 states/eV per atom
ΔE_f ... 139 meV/atom
M_tot ... 0.0 μB per formula unit

Cell lengths 4.9924, 4.9924, 4.9924 Å; angles 90.00, 90.00, 90.00 degrees
Fractional positions:
Y: 0.0000 0.0000 0.0000
Cd: 0.0000 0.5000 0.5000
Cd: 0.5000 0.0000 0.5000
Cd: 0.5000 0.5000 0.0000
Rh: 0.5000 0.5000 0.5000